Entry 1:
Density functional theory data (PBE) for an optimized crystal structure of TmSiPt2.

The space group is R-3m (No. 166, hexagonal axes) and the conventional cell measures 4.2196, 4.2196 and 14.4290 Å, with angles of 90.00, 90.00 and 120.00 degrees. The distinct sites, in fractional coordinates, are Tm at (0.0000, 0.0000, 0.0000), Si at (0.0000, 0.0000, 0.5000) and Pt at (0.0000, 0.0000, 0.2120).

The final energy comes out at -77.87 eV for the cell shown.

Entry 2:
Density functional theory data (PBE) for an optimized crystal structure of TmSiPt2.

The space group is Pmmm (No. 47) and the conventional cell measures 3.648, 3.915 and 5.469 Å, with angles of 90.00, 90.00 and 90.00 degrees. The distinct sites, in fractional coordinates, are Tm at (0.000, 0.000, 0.000), Si at (0.500, 0.000, 0.500) and Pt at (0.500, 0.500, 0.247).

The final energy comes out at -25.90 eV for the cell shown.

Entry 3:
Density functional theory data (PBE) for an optimized crystal structure of Tm3Si4Pt.

The space group is Immm (No. 71) and the conventional cell measures 4.198, 5.638 and 14.346 Å, with angles of 90.00, 90.00 and 90.00 degrees. The distinct sites, in fractional coordinates, are Tm at (0.000, 0.000, 0.000), Tm at (0.000, 0.500, 0.192), Si at (0.000, 0.294, 0.378) and Pt at (0.000, 0.000, 0.500).

The final energy comes out at -93.45 eV for the cell shown.

Entry 4:
Density functional theory data (PBE) for an optimized crystal structure of Tm3Si2Pt6.

The space group is Im-3m (No. 229) and the conventional cell measures 9.348, 9.348 and 9.348 Å, with angles of 90.00, 90.00 and 90.00 degrees. The distinct sites, in fractional coordinates, are Tm at (0.000, 0.000, 0.291), Si at (0.250, 0.250, 0.250) and Pt at (0.000, 0.319, 0.319).

The final energy comes out at -288.64 eV for the cell shown.

Entry 5:
Density functional theory data (PBE) for an optimized crystal structure of Tm3Si11Pt23.

The space group is Fm-3m (No. 225) and the conventional cell measures 16.968, 16.968 and 16.968 Å, with angles of 90.00, 90.00 and 90.00 degrees. The distinct sites, in fractional coordinates, are Tm at (0.000, 0.250, 0.250), Si at (0.000, 0.000, 0.171), Si at (0.106, 0.106, 0.394), Si at (0.165, 0.165, 0.165), Pt at (0.000, 0.000, 0.374), Pt at (0.083, 0.083, 0.083), Pt at (0.085, 0.085, 0.252) and Pt at (0.192, 0.192, 0.308).

The final energy comes out at -1953.50 eV for the cell shown.

Entry 6:
Density functional theory data (PBE) for an optimized crystal structure of Tm2Si12Pt7.

The space group is P-3 (No. 147) and the conventional cell measures 10.0696, 10.0696 and 3.9070 Å, with angles of 90.00, 90.00 and 120.00 degrees. The distinct sites, in fractional coordinates, are Tm at (0.3333, 0.6667, 0.2201), Si at (0.0641, 0.4418, 0.7680), Si at (0.1140, 0.2668, 0.2160), Pt at (0.0000, 0.0000, 0.0000) and Pt at (0.1161, 0.7069, 0.6948).

The final energy comes out at -128.59 eV for the cell shown.

Entry 7:
Density functional theory data (PBE) for an optimized crystal structure of TmSi3Pt.

The space group is P2_1/m (No. 11) and the conventional cell measures 5.468, 5.562 and 5.516 Å, with angles of 90.00, 94.11 and 90.00 degrees. The distinct sites, in fractional coordinates, are Tm at (0.152, 0.250, 0.192), Si at (0.085, 0.750, 0.331), Si at (0.317, 0.024, 0.668) and Pt at (0.374, 0.750, 0.015).

The final energy comes out at -59.66 eV for the cell shown.

Entry 8:
Density functional theory data (PBE) for an optimized crystal structure of Tm2Si3Pt3.

The space group is P4/mmm (No. 123) and the conventional cell measures 2.837, 2.837 and 20.287 Å, with angles of 90.00, 90.00 and 90.00 degrees. The distinct sites, in fractional coordinates, are Tm at (0.000, 0.000, 0.247), Si at (0.000, 0.000, 0.000), Si at (0.000, 0.000, 0.385), Pt at (0.000, 0.000, 0.114) and Pt at (0.000, 0.000, 0.500).

The final energy comes out at -40.64 eV for the cell shown.

Entry 9:
Density functional theory data (PBE) for an optimized crystal structure of TmSi3Pt3.

The space group is Pm-3n (No. 223) and the conventional cell measures 6.585, 6.585 and 6.585 Å, with angles of 90.00, 90.00 and 90.00 degrees. The distinct sites, in fractional coordinates, are Tm at (0.000, 0.000, 0.000), Si at (0.000, 0.250, 0.500) and Pt at (0.000, 0.500, 0.250).

The final energy comes out at -85.32 eV for the cell shown.

Entry 10:
Density functional theory data (PBE) for an optimized crystal structure of TmSi2Pt7.

The space group is I4/mmm (No. 139) and the conventional cell measures 4.030, 4.030 and 20.126 Å, with angles of 90.00, 90.00 and 90.00 degrees. The distinct sites, in fractional coordinates, are Tm at (0.000, 0.000, 0.000), Si at (0.000, 0.000, 0.324), Pt at (0.000, 0.000, 0.500), Pt at (0.000, 0.500, 0.106) and Pt at (0.000, 0.500, 0.250).

The final energy comes out at -133.26 eV for the cell shown.

Entry 11:
Density functional theory data (PBE) for an optimized crystal structure of Tm2VSi4Pt3.

The space group is P-4m2 (No. 115) and the conventional cell measures 4.070, 4.070 and 10.325 Å, with angles of 90.00, 90.00 and 90.00 degrees. The distinct sites, in fractional coordinates, are Tm at (0.000, 0.500, 0.249), V at (0.500, 0.500, 0.000), Si at (0.000, 0.000, 0.500), Si at (0.000, 0.500, 0.863), Si at (0.500, 0.500, 0.500), Pt at (0.000, 0.000, 0.000) and Pt at (0.000, 0.500, 0.629).

The final energy comes out at -67.37 eV for the cell shown.

Entry 12:
Density functional theory data (PBE) for an optimized crystal structure of YTmSi2Pt5.

The space group is P4/mmm (No. 123) and the conventional cell measures 4.178, 4.178 and 8.947 Å, with angles of 90.00, 90.00 and 90.00 degrees. The distinct sites, in fractional coordinates, are Y at (0.000, 0.000, 0.000), Tm at (0.000, 0.000, 0.500), Si at (0.500, 0.500, 0.370), Pt at (0.000, 0.500, 0.237) and Pt at (0.500, 0.500, 0.000).

The final energy comes out at -61.84 eV for the cell shown.

Entry 13:
Density functional theory data (PBE) for an optimized crystal structure of YTm2Si2Pt7.

The space group is C2/m (No. 12) and the conventional cell measures 5.709, 5.659 and 13.768 Å, with angles of 90.00, 99.22 and 90.00 degrees. The distinct sites, in fractional coordinates, are Y at (0.000, 0.000, 0.000), Tm at (0.124, 0.000, 0.357), Si at (0.102, 0.500, 0.260), Pt at (0.000, 0.500, 0.000), Pt at (0.142, 0.500, 0.431) and Pt at (0.185, 0.250, 0.836).

The final energy comes out at -163.75 eV for the cell shown.

Entry 14:
Density functional theory data (PBE) for an optimized crystal structure of YTmSiPt.

The space group is Amm2 (No. 38) and the conventional cell measures 4.180, 3.964 and 10.610 Å, with angles of 90.00, 90.00 and 90.00 degrees. The distinct sites, in fractional coordinates, are Y at (0.000, 0.000, 0.000), Tm at (0.500, 0.000, 0.283), Si at (0.000, 0.000, 0.719) and Pt at (0.500, 0.000, 0.567).

The final energy comes out at -53.16 eV for the cell shown.

Entry 15:
Density functional theory data (PBE) for an optimized crystal structure of Y2TmSi3Pt4.

The space group is P-4m2 (No. 115) and the conventional cell measures 4.172, 4.172 and 10.948 Å, with angles of 90.00, 90.00 and 90.00 degrees. The distinct sites, in fractional coordinates, are Y at (0.000, 0.500, 0.224), Tm at (0.000, 0.000, 0.500), Si at (0.000, 0.500, 0.876), Si at (0.500, 0.500, 0.500), Pt at (0.000, 0.000, 0.000), Pt at (0.000, 0.500, 0.660) and Pt at (0.500, 0.500, 0.000).

The final energy comes out at -68.58 eV for the cell shown.

Entry 16:
Density functional theory data (PBE) for an optimized crystal structure of Y2TmSi3Pt12.

The space group is R-3m (No. 166, hexagonal axes) and the conventional cell measures 8.3349, 8.3349 and 17.5297 Å, with angles of 90.00, 90.00 and 120.00 degrees. The distinct sites, in fractional coordinates, are Y at (0.0000, 0.0000, 0.0968), Tm at (0.0000, 0.0000, 0.5000), Si at (0.0000, 0.5000, 0.0000), Pt at (0.0302, 0.5151, 0.3683) and Pt at (0.0316, 0.5158, 0.8662).

The final energy comes out at -349.64 eV for the cell shown.

Entry 17:
Density functional theory data (PBE) for an optimized crystal structure of Tm2ZnSi4Pt3.

The space group is P-4m2 (No. 115) and the conventional cell measures 4.044, 4.044 and 10.450 Å, with angles of 90.00, 90.00 and 90.00 degrees. The distinct sites, in fractional coordinates, are Tm at (0.000, 0.500, 0.243), Zn at (0.500, 0.500, 0.000), Si at (0.000, 0.000, 0.500), Si at (0.000, 0.500, 0.858), Si at (0.500, 0.500, 0.500), Pt at (0.000, 0.000, 0.000) and Pt at (0.000, 0.500, 0.630).

The final energy comes out at -59.41 eV for the cell shown.

Entry 18:
Density functional theory data (PBE) for an optimized crystal structure of TmZnSiPt3.

The space group is Cmcm (No. 63) and the conventional cell measures 5.528, 15.715 and 5.560 Å, with angles of 90.00, 90.00 and 90.00 degrees. The distinct sites, in fractional coordinates, are Tm at (0.000, 0.196, 0.250), Zn at (0.000, 0.390, 0.750), Si at (0.000, 0.084, 0.750), Pt at (0.000, 0.233, 0.750) and Pt at (0.245, 0.500, 0.000).

The final energy comes out at -135.01 eV for the cell shown.

Entry 19:
Density functional theory data (PBE) for an optimized crystal structure of Tm2ZnSi3Pt4.

The space group is P-4m2 (No. 115) and the conventional cell measures 4.131, 4.131 and 10.196 Å, with angles of 90.00, 90.00 and 90.00 degrees. The distinct sites, in fractional coordinates, are Tm at (0.000, 0.500, 0.246), Zn at (0.500, 0.500, 0.000), Si at (0.000, 0.000, 0.000), Si at (0.000, 0.500, 0.632), Pt at (0.000, 0.000, 0.500), Pt at (0.000, 0.500, 0.860) and Pt at (0.500, 0.500, 0.500).

The final energy comes out at -60.80 eV for the cell shown.